This record from the Alexandria database describes crystalline Pm4SbTeSe2 at its relaxed geometry. The functional is PBE.

The structure in POSCAR format:
```
Pm4SbTeSe2
1.0
7.509 0.000 0.000
0.000 4.321 0.000
-2.480 0.000 7.137
Pm Sb Te Se
4 1 1 2
Cartesian
1.204 0.000 1.606 Pm
-0.031 2.160 5.488 Pm
5.060 2.160 1.650 Pm
3.825 0.000 5.531 Pm
-1.240 0.000 3.569 Sb
2.515 2.160 3.569 Te
0.000 2.160 0.000 Se
3.755 0.000 0.000 Se
```

Values from the calculation:
Formation energy (no corrections) in eV per atom: -1.578
Total magnetization in μB/atom: 0.00
Symmetry: P2/m, No. 10
VASP energy in eV/atom: -5.733